Ta2PtBr after structural relaxation. Source: Alexandria via LeMat-Bulk, functional PBE.

Calculated values
energy above the most stable polymorph in this dataset = 414.7 meV/atom
DFT total energy = -0.2765 hartree per atom
symmetry = C2/m (12)
DOS at the Fermi energy = 2.796 states/eV per cell

The structure in POSCAR format:
```
Ta2PtBr
1.0
5.968 0.001 0.002
-2.637 4.415 0.008
0.695 0.918 2.704
Br Pt Ta
1 1 2
Direct
0.000 0.500 0.500 Br
0.500 0.500 0.000 Pt
0.000 0.000 0.000 Ta
0.500 0.000 0.500 Ta
```